Record 1
Compound: LaTaS2
Source: Alexandria
Functional: PBE-GGA
Structure: optimized geometry

Geometry as POSCAR:
```
LaTaS2
1.0
0.000 3.347 3.347
3.347 0.000 3.347
3.347 3.347 0.000
S La Ta
2 1 1
direct
0.250 0.250 0.250
0.750 0.750 0.750
0.000 0.000 0.000
0.500 0.500 0.500
```

Output
The relative energy among the computed polymorphs is 0.000 eV per formula unit. Its space group is Fm-3m, No. 225. The formation energy without anion corrections is -886 meV per atom. Its crystal system is cubic.


Record 2
Compound: LaTaS3
Source: Alexandria
Functional: PBE-GGA
Structure: optimized geometry

Geometry as POSCAR:
```
LaTaS3
1.0
5.328 0.000 0.000
0.000 5.328 0.000
0.000 0.000 5.328
S La Ta
3 1 1
direct
0.000 0.500 0.000
0.000 0.000 0.500
0.500 0.000 0.000
0.000 0.000 0.000
0.500 0.500 0.500
```

Output
The relative energy among the computed polymorphs is 10.622 eV per formula unit. Its space group is Pm-3m, No. 221. The formation energy without anion corrections is 701 meV per atom. Its crystal system is cubic.


Record 3
Compound: LaTaS3
Source: Alexandria
Functional: PBE-GGA
Structure: optimized geometry

Geometry as POSCAR:
```
LaTaS3
1.0
4.775 0.000 0.000
0.000 4.775 0.000
0.000 0.000 4.775
S La Ta
3 1 1
direct
0.000 0.500 0.000
0.000 0.000 0.500
0.500 0.000 0.000
0.500 0.500 0.500
0.000 0.000 0.000
```

Output
The relative energy among the computed polymorphs is 0.812 eV per formula unit. Its space group is Pm-3m, No. 221. The formation energy without anion corrections is -1261 meV per atom. Its crystal system is cubic.


Record 4
Compound: La3TaS6
Source: Alexandria
Functional: PBE-GGA
Structure: optimized geometry

Geometry as POSCAR:
```
La3TaS6
1.0
-1.090 -6.620 -1.153
8.252 -1.848 2.810
-4.646 -0.556 7.584
La Ta S
6 2 12
direct
0.474 0.914 0.726
0.974 0.726 0.914
0.407 0.400 0.600
0.907 0.600 0.400
0.974 0.086 0.274
0.474 0.274 0.086
0.026 0.186 0.814
0.526 0.814 0.186
0.192 0.681 0.637
0.692 0.637 0.681
0.184 0.419 0.900
0.684 0.900 0.419
0.167 0.027 0.973
0.687 0.217 0.783
0.187 0.783 0.217
0.667 0.973 0.027
0.184 0.100 0.581
0.684 0.581 0.100
0.192 0.363 0.319
0.692 0.319 0.363
```

Output
Its space group is Cmc2_1, No. 36. The formation energy without anion corrections is -1731 meV per atom. Its crystal system is orthorhombic.


Record 5
Compound: LaTa6S8
Source: Alexandria
Functional: PBE-GGA
Structure: optimized geometry

Geometry as POSCAR:
```
LaTa6S8
1.0
-0.377 -6.640 -0.127
0.699 -0.464 6.599
-6.576 0.057 1.000
La Ta S
1 6 8
direct
0.000 0.000 0.000
0.592 0.442 0.796
0.442 0.796 0.592
0.796 0.592 0.442
0.408 0.558 0.204
0.558 0.204 0.408
0.204 0.408 0.558
0.765 0.765 0.765
0.235 0.235 0.235
0.606 0.869 0.246
0.869 0.246 0.606
0.246 0.606 0.869
0.394 0.131 0.754
0.131 0.754 0.394
0.754 0.394 0.131
```

Output
Its space group is R-3, No. 148. The formation energy without anion corrections is -994 meV per atom. Its crystal system is trigonal.


Record 6
Compound: La3TaTl3S8
Source: Alexandria
Functional: PBE-GGA
Structure: optimized geometry

Geometry as POSCAR:
```
La3TaTl3S8
1.0
8.174 0.000 0.000
-4.087 7.080 -0.028
0.000 -4.691 7.634
La Ta Tl S
3 1 3 8
direct
0.500 0.000 0.500
0.500 0.500 0.500
0.000 0.500 0.500
0.000 0.000 0.500
0.000 0.000 0.000
0.000 0.500 0.000
0.500 0.500 0.000
0.263 0.525 0.288
0.737 0.475 0.712
0.791 0.582 0.310
0.209 0.418 0.690
0.791 0.019 0.310
0.209 0.981 0.690
0.228 0.019 0.310
0.772 0.981 0.690
```

Output
Its space group is R-3m, No. 166. The formation energy without anion corrections is -1361 meV per atom. Its crystal system is trigonal.


Record 7
Compound: La5TbS8
Source: Alexandria
Functional: PBE-GGA
Structure: optimized geometry

Geometry as POSCAR:
```
La5TbS8
1.0
7.517 0.024 -0.041
-2.521 7.082 0.041
-2.475 -3.569 6.136
La Tb S
5 1 8
direct
0.005 0.381 0.127
0.873 0.878 0.254
0.746 0.619 0.624
0.500 0.000 0.500
0.376 0.122 0.995
0.250 0.500 0.750
0.131 0.747 0.019
0.981 0.112 0.728
0.780 0.252 0.377
0.623 0.403 0.875
0.472 0.597 0.220
0.616 0.888 0.869
0.272 0.253 0.384
0.125 0.748 0.528
```

Output
Its space group is I-4, No. 82. The formation energy without anion corrections is -2134 meV per atom. Its crystal system is tetragonal.


Record 8
Compound: La5Tb3S8
Source: Alexandria
Functional: PBE-GGA
Structure: optimized geometry

Geometry as POSCAR:
```
La5Tb3S8
1.0
7.052 0.000 4.039
2.369 6.642 4.039
0.009 0.006 8.160
La Tb S
5 3 8
direct
0.500 0.000 0.000
0.500 0.500 0.000
0.000 0.000 0.000
0.000 0.500 0.000
0.500 0.500 0.500
0.500 0.000 0.500
0.000 0.000 0.500
0.000 0.500 0.500
0.250 0.250 0.737
0.250 0.763 0.737
0.763 0.250 0.737
0.756 0.756 0.732
0.750 0.750 0.263
0.750 0.237 0.263
0.237 0.750 0.263
0.244 0.244 0.268
```

Output
Its space group is R-3m, No. 166. The formation energy without anion corrections is -2104 meV per atom. Its crystal system is trigonal.


Record 9
Compound: La2TbS4
Source: Alexandria
Functional: PBE-GGA
Structure: optimized geometry

Geometry as POSCAR:
```
La2TbS4
1.0
-0.349 -2.260 3.174
6.726 2.445 0.069
-3.983 10.753 7.219
La Tb S
4 2 8
direct
0.129 0.259 0.426
0.871 0.741 0.926
0.129 0.259 0.074
0.871 0.741 0.574
0.628 0.256 0.750
0.372 0.744 0.250
0.780 0.561 0.126
0.780 0.561 0.374
0.220 0.439 0.874
0.220 0.439 0.626
0.985 0.970 0.750
0.015 0.030 0.250
0.500 0.000 0.000
0.500 0.000 0.500
```

Output
Its space group is Cmcm, No. 63. The formation energy without anion corrections is -2075 meV per atom. Its crystal system is orthorhombic.


Record 10
Compound: La3TbS4
Source: Alexandria
Functional: PBE-GGA
Structure: optimized geometry

Geometry as POSCAR:
```
La3TbS4
1.0
-0.979 3.406 -6.160
-6.335 -1.520 2.904
0.090 7.144 3.935
S Tb La
8 2 6
direct
0.993 0.243 0.632
0.500 0.237 0.882
0.493 0.243 0.368
0.000 0.237 0.118
0.000 0.763 0.882
0.507 0.757 0.632
0.500 0.763 0.118
0.007 0.757 0.368
0.750 0.000 0.875
0.250 0.000 0.125
0.750 0.000 0.375
0.250 0.000 0.625
0.750 0.500 0.624
0.750 0.500 0.125
0.250 0.500 0.376
0.250 0.500 0.875
```

Output
The relative energy among the computed polymorphs is 0.000 eV per formula unit. Its space group is P2/c, No. 13. The formation energy without anion corrections is -2126 meV per atom. Its crystal system is monoclinic.


Record 11
Compound: LaTbS2
Source: Alexandria
Functional: PBE-GGA
Structure: optimized geometry

Geometry as POSCAR:
```
LaTbS2
1.0
-2.148 1.318 3.131
-1.895 -2.631 2.375
4.045 -0.834 5.717
La Tb S
1 1 2
direct
0.500 0.500 0.500
0.000 0.000 0.000
0.744 0.744 0.768
0.256 0.256 0.232
```

Output
The relative energy among the computed polymorphs is 0.000 eV per formula unit. Its space group is C2/m, No. 12. The formation energy without anion corrections is -2095 meV per atom. Its crystal system is monoclinic.


Record 12
Compound: LaTbS3
Source: Alexandria
Functional: PBE-GGA
Structure: optimized geometry

Geometry as POSCAR:
```
LaTbS3
1.0
-0.287 0.061 -4.015
-7.883 -1.175 0.547
-0.501 7.914 0.156
La Tb S
2 2 6
direct
0.250 0.376 0.229
0.750 0.624 0.771
0.250 0.852 0.326
0.750 0.148 0.674
0.750 0.627 0.387
0.250 0.373 0.613
0.750 0.318 0.975
0.250 0.907 0.680
0.250 0.682 0.025
0.750 0.093 0.320
```

Output
The relative energy among the computed polymorphs is 0.127 eV per formula unit. Its space group is P2_1/m, No. 11. The formation energy without anion corrections is -2126 meV per atom. Its crystal system is monoclinic.


Record 13
Compound: La3TbS
Source: Alexandria
Functional: PBE-GGA
Structure: optimized geometry

Geometry as POSCAR:
```
La3TbS
1.0
-2.112 -5.154 -0.576
3.004 -0.709 -4.672
4.228 -2.071 3.032
S Tb La
1 1 3
direct
0.000 0.000 0.000
0.500 0.500 0.500
0.000 0.500 0.000
0.000 0.000 0.500
0.500 0.000 0.000
```

Output
Its space group is Pm-3m, No. 221. The formation energy without anion corrections is -712 meV per atom. Its crystal system is cubic.


Record 14
Compound: La4Tb3S8
Source: Alexandria
Functional: PBE-GGA
Structure: optimized geometry

Geometry as POSCAR:
```
La4Tb3S8
1.0
8.141 -0.118 -0.170
-3.974 7.065 0.119
-3.974 -2.341 6.667
La Tb S
4 3 8
direct
0.500 0.000 0.000
0.000 0.500 0.000
0.000 0.000 0.000
0.000 0.000 0.500
0.500 0.500 0.000
0.500 0.000 0.500
0.500 0.500 0.500
0.507 0.259 0.259
0.000 0.747 0.253
0.013 0.259 0.259
0.500 0.744 0.256
0.500 0.256 0.744
0.987 0.741 0.741
0.000 0.253 0.747
0.493 0.741 0.741
```

Output
The relative energy among the computed polymorphs is 0.000 eV per formula unit. Its space group is C2/m, No. 12. The formation energy without anion corrections is -2078 meV per atom. Its crystal system is monoclinic.


Record 15
Compound: La2TbS3
Source: Alexandria
Functional: PBE-GGA
Structure: optimized geometry

Geometry as POSCAR:
```
La2TbS3
1.0
6.968 0.049 -1.295
-2.650 6.444 -1.295
-0.040 -0.061 12.818
La Tb S
8 4 12
direct
0.999 0.499 0.997
0.418 0.418 0.837
0.832 0.332 0.663
0.251 0.251 0.503
0.749 0.749 0.497
0.668 0.168 0.337
0.582 0.582 0.163
0.501 0.001 0.003
0.917 0.917 0.833
0.333 0.833 0.667
0.167 0.667 0.333
0.083 0.083 0.167
0.165 0.678 0.828
0.664 0.151 0.828
0.085 0.072 0.672
0.586 0.599 0.672
0.015 0.515 0.500
0.485 0.985 0.500
0.401 0.414 0.328
0.928 0.915 0.328
0.849 0.336 0.172
0.322 0.835 0.172
0.235 0.235 0.000
0.765 0.765 0.000
```

Output
Its space group is Fddd, No. 70. The formation energy without anion corrections is -2115 meV per atom. Its crystal system is orthorhombic.


Record 16
Compound: LaTb2S
Source: Alexandria
Functional: PBE-GGA
Structure: optimized geometry

Geometry as POSCAR:
```
LaTb2S
1.0
3.756 0.000 0.000
1.878 3.253 0.000
1.878 1.084 9.546
S Tb La
1 2 1
direct
0.500 0.500 0.500
0.226 0.226 0.321
0.774 0.774 0.679
0.000 0.000 0.000
```

Output
Its space group is R-3m, No. 166. The formation energy without anion corrections is -948 meV per atom. Its crystal system is trigonal.


Record 17
Compound: LaTb2S4
Source: Alexandria
Functional: PBE-GGA
Structure: optimized geometry

Geometry as POSCAR:
```
LaTb2S4
1.0
-0.617 -2.661 2.933
10.255 2.221 4.171
-5.575 10.334 8.204
La Tb S
4 8 16
direct
0.250 0.737 0.343
0.750 0.263 0.657
0.250 0.237 0.157
0.750 0.763 0.843
0.750 0.111 0.903
0.250 0.889 0.097
0.750 0.611 0.597
0.250 0.389 0.403
0.250 0.434 0.896
0.750 0.566 0.104
0.250 0.934 0.604
0.750 0.066 0.396
0.750 0.063 0.090
0.250 0.937 0.910
0.750 0.563 0.410
0.250 0.437 0.590
0.750 0.007 0.716
0.250 0.993 0.284
0.750 0.507 0.784
0.250 0.493 0.216
0.750 0.344 0.014
0.250 0.656 0.986
0.750 0.844 0.486
0.250 0.156 0.514
0.250 0.228 0.805
0.750 0.772 0.195
0.250 0.728 0.695
0.750 0.272 0.305
```

Output
The relative energy among the computed polymorphs is 0.060 eV per formula unit. Its space group is Pnma, No. 62. The formation energy without anion corrections is -2120 meV per atom. Its crystal system is orthorhombic.


Record 18
Compound: LaTb4S7
Source: Alexandria
Functional: PBE-GGA
Structure: optimized geometry

Geometry as POSCAR:
```
LaTb4S7
1.0
3.859 0.000 0.000
-1.930 6.359 -1.658
0.000 0.021 11.771
La Tb S
1 4 7
direct
0.889 0.778 0.581
0.701 0.402 0.817
0.300 0.600 0.186
0.001 0.002 0.003
0.112 0.224 0.416
0.738 0.475 0.346
0.250 0.501 0.650
0.343 0.686 0.951
0.659 0.318 0.051
0.047 0.094 0.793
0.956 0.911 0.214
0.505 0.009 0.494
```

Output
Its space group is Cm, No. 8. The formation energy without anion corrections is -2076 meV per atom. Its crystal system is monoclinic.


Record 19
Compound: LaTb3S6
Source: Alexandria
Functional: PBE-GGA
Structure: optimized geometry

Geometry as POSCAR:
```
LaTb3S6
1.0
-1.428 0.083 3.778
-8.245 -6.912 -2.965
8.918 -6.243 3.508
La Tb S
2 6 12
direct
0.750 0.050 0.694
0.250 0.950 0.306
0.750 0.443 0.833
0.250 0.557 0.167
0.750 0.680 0.502
0.250 0.320 0.498
0.750 0.161 0.087
0.250 0.839 0.913
0.750 0.478 0.611
0.250 0.522 0.389
0.750 0.917 0.094
0.250 0.083 0.906
0.750 0.395 0.058
0.250 0.605 0.942
0.750 0.734 0.272
0.250 0.266 0.728
0.750 0.119 0.463
0.250 0.881 0.537
0.750 0.804 0.751
0.250 0.196 0.249
```

Output
Its space group is P2_1/m, No. 11. The formation energy without anion corrections is -2126 meV per atom. Its crystal system is monoclinic.


Record 20
Compound: La3TbS4
Source: Alexandria
Functional: PBE-GGA
Structure: optimized geometry

Geometry as POSCAR:
```
La3TbS4
1.0
5.807 0.000 0.000
0.000 5.807 0.000
0.000 0.000 5.807
La Tb S
3 1 4
direct
0.000 0.500 0.500
0.500 0.000 0.500
0.500 0.500 0.000
0.000 0.000 0.000
0.500 0.000 0.000
0.000 0.500 0.000
0.000 0.000 0.500
0.500 0.500 0.500
```

Output
The relative energy among the computed polymorphs is 0.249 eV per formula unit. Its space group is Pm-3m, No. 221. The formation energy without anion corrections is -2095 meV per atom. Its crystal system is cubic.